No. 1
# TbBeH | the Alexandria database | PBE | optimized geometry
data_TbBeH
_chemical_formula_sum 'Tb2 Be2 H2'
_symmetry_space_group_name_H-M 'I 4 m m'
_symmetry_Int_Tables_number 107
_symmetry_space_group_name_Hall 'I 4 -2'
_cell_length_a 3.441
_cell_length_b 3.441
_cell_length_c 8.164
_cell_angle_alpha 90.00
_cell_angle_beta 90.00
_cell_angle_gamma 90.00
loop_
_atom_site_label
_atom_site_fract_x
_atom_site_fract_y
_atom_site_fract_z
Tb1 0.000 0.000 0.000
Be1 0.000 0.000 0.665
H1 0.000 0.000 0.485
# Relative energy among the computed polymorphs (eV per atom): 0.117
# Fermi-level density of states (states/eV/cell): 1.37

No. 2
# TbBeH | the Alexandria database | PBE | optimized geometry
data_TbBeH
_chemical_formula_sum 'Tb4 Be4 H4'
_symmetry_space_group_name_H-M 'C m c m'
_symmetry_Int_Tables_number 63
_symmetry_space_group_name_Hall '-C 2c 2'
_cell_length_a 3.134
_cell_length_b 16.759
_cell_length_c 3.223
_cell_angle_alpha 90.00
_cell_angle_beta 90.00
_cell_angle_gamma 90.00
loop_
_atom_site_label
_atom_site_fract_x
_atom_site_fract_y
_atom_site_fract_z
Tb1 0.000 0.101 0.250
Be1 0.000 0.247 0.750
H1 0.000 0.438 0.250
# Relative energy among the computed polymorphs (eV per atom): 0.000
# Fermi-level density of states (states/eV/cell): 7.71

No. 3
# BeTcH | the Alexandria database | PBE | optimized geometry
data_BeTcH
_chemical_formula_sum 'Be2 Tc2 H2'
_symmetry_space_group_name_H-M 'I 4 m m'
_symmetry_Int_Tables_number 107
_symmetry_space_group_name_Hall 'I 4 -2'
_cell_length_a 3.139
_cell_length_b 3.139
_cell_length_c 5.636
_cell_angle_alpha 90.00
_cell_angle_beta 90.00
_cell_angle_gamma 90.00
loop_
_atom_site_label
_atom_site_fract_x
_atom_site_fract_y
_atom_site_fract_z
Be1 0.000 0.000 0.000
Tc1 0.000 0.000 0.408
H1 0.000 0.000 0.732
# Relative energy among the computed polymorphs (eV per atom): 0.601
# Fermi-level density of states (states/eV/cell): 3.75

Question: The lowest relative energy among the computed polymorphs belongs to which entry?
Answer: number 2